A relaxed structure of BeTlB. Source: Alexandria, functional PBE.

Lattice parameters (Å, degrees): 3.1225 3.7343 8.6356 84.00 85.15 89.88
Fractional positions:
Be 0.0000 0.0000 0.0000
Be 0.4738 0.7286 0.1144
Tl 0.4943 0.5810 0.7336
Tl 0.9930 0.1489 0.3810
B 0.4841 0.2497 0.0646
B 0.9898 0.4789 0.0496

Results
total energy: -4.0953 eV/atom
V: 16.6 Å³/atom
size of the total moment: 0.00 Bohr magnetons per cell
SG: P1

A relaxed structure of BeTlB2W. Source: Alexandria, functional PBE.

Lattice parameters (Å, degrees): 4.2924 4.2924 4.3093 90.00 90.00 90.00
Fractional positions:
Be 0.0000 0.0000 0.0000
Tl 0.0000 0.0000 0.5000
B 0.0000 0.5000 0.5000
B 0.5000 0.0000 0.5000
W 0.5000 0.5000 0.0000

Results
total energy: -3.6725 eV/atom
V: 15.9 Å³/atom
size of the total moment: 0.00 Bohr magnetons per cell
SG: P4/mmm

A relaxed structure of Y2BeTlB. Source: Alexandria, functional PBE.

Lattice parameters (Å, degrees): 5.0239 5.0239 4.4447 90.00 90.00 90.00
Fractional positions:
Y 0.0000 0.5000 0.0000
Y 0.5000 0.0000 0.0000
Be 0.0000 0.0000 0.5000
Tl 0.5000 0.5000 0.5000
B 0.5000 0.5000 0.0000

Results
offset from the most stable computed form: 2.40 eV/f.u.
total energy: -4.8165 eV/atom
V: 22.4 Å³/atom
size of the total moment: 0.00 Bohr magnetons per cell
SG: P4/mmm

A relaxed structure of Y2BeTlB. Source: Alexandria, functional PBE.

Lattice parameters (Å, degrees): 5.2342 5.2342 3.7584 90.00 90.00 90.00
Fractional positions:
Y 0.0000 0.5000 0.0000
Y 0.5000 0.0000 0.0000
Be 0.0000 0.0000 0.5000
Tl 0.5000 0.5000 0.5000
B 0.0000 0.0000 0.0000

Results
offset from the most stable computed form: 0.00 eV/f.u.
total energy: -5.2968 eV/atom
V: 20.6 Å³/atom
size of the total moment: 0.00 Bohr magnetons per cell
SG: P4/mmm

Going through the records in order, we get DFT formation energy values of 161; 2808; 323; -157 meV/atom.